Compound: Ba4HgAu
Source: Alexandria via LeMat-Bulk
Functional: PBE
Structure: relaxed

Summary:
total magnetization: 0.46 μB/cell
DFT formation energy: 2.05 eV/f.u.
relative energy among the computed polymorphs: 0.7658 eV/atom
calculated volume: 44.2 Å³/atom

POSCAR file:
```
Ba4HgAu
1.0
0.000 5.101 5.101
5.101 0.000 5.101
5.101 5.101 0.000
Ba Au Hg
4 1 1
Direct
0.375 0.375 0.375
0.375 0.375 0.876
0.375 0.876 0.375
0.876 0.375 0.375
0.000 0.000 0.000
0.750 0.750 0.750
```